Pr2Sn2O7: relaxed, PBEsol.

The structure in extended XYZ format:
```
22
Lattice="0.0000 5.3193 5.3193 5.3193 0.0000 5.3193 5.3193 5.3193 0.0000" Properties=species:S:1:pos:R:3 pbc="T T T"
Pr 0.0000 0.0000 0.0000
Pr 2.6597 2.6597 0.0000
Pr 2.6597 0.0000 2.6597
Pr 0.0000 2.6597 2.6597
Sn 5.3193 2.6597 2.6597
Sn 2.6597 5.3193 2.6597
Sn 2.6597 2.6597 5.3193
Sn 5.3193 5.3193 5.3193
O 1.3298 1.3298 1.3298
O 3.9895 3.9895 1.7708
O 3.9895 1.7708 3.9895
O 6.2081 3.9895 3.9895
O 6.6491 6.6491 4.4305
O 6.6491 4.4305 6.6491
O 8.8678 6.6491 6.6491
O 1.7708 3.9895 3.9895
O 3.9895 6.2081 3.9895
O 3.9895 3.9895 6.2081
O 4.4305 6.6491 6.6491
O 6.6491 8.8678 6.6491
O 6.6491 6.6491 8.8678
O 9.3088 9.3088 9.3088
```

Calculated values
- SG: Fd-3m
- Total magnetization: 0.00 μB per cell
- Energy relative to the elements, uncorrected: -2556 meV/atom
- Final energy: -167.50 eV/cell